Record 1
VASP calculation (GGA-PBE) on a relaxed structure of NaPaPtSe3.

Energy relative to the elements, uncorrected in eV/f.u.: -6.74
Total DFT energy (no corrections) in eV/atom: -5.67
Theoretical density in g/cm3: 7.794

The structure in CIF format:
```
data_NaPaPtSe3
_chemical_formula_sum 'Na4 Pa4 Pt4 Se12'
_cell_length_a 4.0216
_cell_length_b 14.1001
_cell_length_c 10.3092
_cell_angle_alpha 90.00
_cell_angle_beta 90.00
_cell_angle_gamma 90.00
_symmetry_space_group_name_H-M 'C m c m'
_symmetry_Int_Tables_number 63
_symmetry_space_group_name_Hall '-C 2c 2'
loop_
_atom_site_label
_atom_site_fract_x
_atom_site_fract_y
_atom_site_fract_z
_atom_site_occupancy
Na1 0.0000 0.2309 0.2500 1
Pa1 0.0000 0.0000 0.0000 1
Pt1 0.0000 0.4746 0.7500 1
Se1 0.0000 0.0881 0.7500 1
Se2 0.0000 0.3619 0.5576 1
```

=====

Record 2
VASP calculation (GGA-PBE) on a relaxed structure of ZnSbTe.

Energy relative to the elements, uncorrected in eV/f.u.: 0.54
E above lowest polymorph in meV per atom: 176
Total DFT energy (no corrections) in eV/atom: -2.66
Theoretical density in g/cm3: 6.807

The structure in CIF format:
```
data_ZnSbTe
_chemical_formula_sum 'Zn4 Sb4 Te4'
_cell_length_a 4.1160
_cell_length_b 5.9184
_cell_length_c 12.6086
_cell_angle_alpha 90.00
_cell_angle_beta 90.00
_cell_angle_gamma 90.00
_symmetry_space_group_name_H-M 'F m m 2'
_symmetry_Int_Tables_number 42
_symmetry_space_group_name_Hall 'F 2 -2'
loop_
_atom_site_label
_atom_site_fract_x
_atom_site_fract_y
_atom_site_fract_z
_atom_site_occupancy
Zn1 0.0000 0.0000 0.0000 1
Sb1 0.0000 0.0000 0.3507 1
Te1 0.0000 0.0000 0.6446 1
```

=====

Record 3
VASP calculation (GGA-PBE) on a relaxed structure of Al2O.

Energy relative to the elements, uncorrected in eV/f.u.: -4.36
E above lowest polymorph in meV per atom: 0
Total DFT energy (no corrections) in eV/atom: -5.60
Theoretical density in g/cm3: 2.696

The structure in CIF format:
```
data_Al2O
_chemical_formula_sum 'Al4 O2'
_cell_length_a 2.8770
_cell_length_b 3.7600
_cell_length_c 7.9679
_cell_angle_alpha 90.00
_cell_angle_beta 90.00
_cell_angle_gamma 90.00
_symmetry_space_group_name_H-M 'P m m n'
_symmetry_Int_Tables_number 59
loop_
_symmetry_equiv_pos_as_xyz
'x,y,z'
'-x,-y,-z'
'-x+1/2,-y+1/2,z'
'x+1/2,y+1/2,-z'
'x+1/2,-y,-z'
'-x+1/2,y,z'
'-x,y+1/2,-z'
'x,-y+1/2,z'
loop_
_atom_site_label
_atom_site_fract_x
_atom_site_fract_y
_atom_site_fract_z
_atom_site_occupancy
Al1 0.2500 0.2500 0.0937 1
Al2 0.2500 0.7500 0.6057 1
O1 0.2500 0.2500 0.5533 1
```

=====

Record 4
VASP calculation (GGA-PBE) on a relaxed structure of TiWC3.

E above lowest polymorph in meV per atom: 712
Total DFT energy (no corrections) in eV/atom: -7.52
Theoretical density in g/cm3: 7.730
E_form in kJ per mole of atoms: 210.4

The structure in CIF format:
```
data_TiWC3
_chemical_formula_sum 'Ti1 W1 C3'
_cell_length_a 3.8600
_cell_length_b 3.8600
_cell_length_c 3.8600
_cell_angle_alpha 90.00
_cell_angle_beta 90.00
_cell_angle_gamma 90.00
_symmetry_space_group_name_H-M 'P m -3 m'
_symmetry_Int_Tables_number 221
_symmetry_space_group_name_Hall '-P 4 2 3'
loop_
_atom_site_label
_atom_site_fract_x
_atom_site_fract_y
_atom_site_fract_z
_atom_site_occupancy
Ti1 0.0000 0.0000 0.0000 1
W1 0.5000 0.5000 0.5000 1
C1 0.0000 0.0000 0.5000 1
```